SrMg14B: relaxed, GGA-PBE.

a = 6.6872 Å, b = 6.6872 Å, c = 10.2630 Å
α = 90.00°, β = 90.00°, γ = 125.14°
Closest atoms and distances in Å follow each position.
Positions (direct):
Sr 0.8066 0.1934 0.5000  2 B 3.19, 10 Mg 3.21-3.43
Mg 0.8296 0.1704 0.0000  12 Mg 3.08-3.40
Mg 0.3166 0.6834 0.0000  8 Mg 3.08-3.23
Mg 0.3126 0.2245 0.5000  1 B 2.46
Mg 0.3208 0.1690 0.0000  8 Mg 3.02-3.29
Mg 0.7755 0.6874 0.5000  1 B 2.46
Mg 0.8310 0.6792 0.0000  8 Mg 3.02-3.29
Mg 0.1759 0.3299 0.2448  8 Mg 2.99-3.21, 1 B 3.08, 1 Sr 3.35
Mg 0.1759 0.3299 0.7552  8 Mg 2.99-3.21, 1 B 3.08, 1 Sr 3.35
Mg 0.6701 0.8241 0.2448  8 Mg 2.99-3.21, 1 B 3.08, 1 Sr 3.35
Mg 0.6701 0.8241 0.7552  8 Mg 2.99-3.21, 1 B 3.08, 1 Sr 3.35
Mg 0.6610 0.3390 0.2367  9 Mg 3.06-3.36, 1 Sr 3.21
Mg 0.6610 0.3390 0.7633  9 Mg 3.06-3.36, 1 Sr 3.21
Mg 0.2092 0.7908 0.3374  1 B 2.58
Mg 0.2092 0.7908 0.6626  1 B 2.58
B 0.3749 0.6251 0.5000  4 Mg 2.46-2.58

## Properties
Calculated total energy   -28.089 eV/f.u.
Calculated volume   375 Å³ per cell

---

Mn2NiAu: relaxed, GGA-PBE.

a = 3.9461 Å, b = 3.9461 Å, c = 3.7013 Å
α = 90.00°, β = 90.00°, γ = 90.00°
Closest atoms and distances in Å follow each position.
Positions (direct):
Au 0.0000 0.5000 0.5000  8 Mn 2.71, 4 Ni 2.79
Mn 0.0000 0.0000 0.0000  4 Ni 2.71, 4 Au 2.71, 4 Mn 2.79
Mn 0.5000 0.5000 0.0000  4 Au 2.71, 4 Ni 2.71, 4 Mn 2.79
Ni 0.5000 0.0000 0.5000  8 Mn 2.71, 4 Au 2.79

## Properties
Calculated total energy   -27.194 eV/f.u.
Calculated volume   58 Å³ per cell

---

Cd5Cu: relaxed, GGA-PBE.

a = 5.5184 Å, b = 5.5184 Å, c = 5.3890 Å
α = 90.00°, β = 90.00°, γ = 120.00°
Closest atoms and distances in Å follow each position.
Positions (direct):
Cd 0.0000 0.5000 0.5000  4 Cd 2.76
Cd 0.3333 0.6667 0.0000  9 Cd 3.13-3.19, 3 Cu 3.19
Cd 0.5000 0.0000 0.5000  4 Cd 2.76
Cd 0.5000 0.5000 0.5000  4 Cd 2.76
Cd 0.6667 0.3333 0.0000  9 Cd 3.13-3.19, 3 Cu 3.19
Cu 0.0000 0.0000 0.0000  6 Cd 3.19

## Properties
Calculated total energy   -6.786 eV/f.u.
Calculated volume   142 Å³ per cell